Entry from Alexandria: AlSi2Pt after structural relaxation (PBE).

Cell lengths 2.796, 4.429, 4.980 Å; angles 90.00, 90.00, 90.00 degrees
Space group Pmmm (No. 47)
Unique sites:
Al (0.000, 0.000, 0.000) [1 per cell]
Si (0.000, 0.500, 0.500) [1 per cell]
Si (0.500, 0.000, 0.500) [1 per cell]
Pt (0.500, 0.500, 0.000) [1 per cell]

Results
Crystal system   orthorhombic
N(E_F)   1.488 states/eV/f.u.
E_form (uncorrected)   -36 meV per atom